A plane-wave DFT calculation with PBE-GGA was carried out for LiBe2InCl6 after structural relaxation. Values from VASP.

Output
Energy relative to the elements, uncorrected ... -31.37 kcal/mol of atoms
Space group ... C2/c

Structure (Quantum ESPRESSO input):
```
&SYSTEM
  ibrav = 0, nat = 20, ntyp = 4
/
ATOMIC_SPECIES
Li 6.94 Li.upf
Be 9.01 Be.upf
In 114.82 In.upf
Cl 35.45 Cl.upf
CELL_PARAMETERS angstrom
6.190 -7.249 0.000
6.190 7.249 0.000
-0.828 0.000 5.790
ATOMIC_POSITIONS crystal
Li 0.119 0.881 0.750
Li 0.881 0.119 0.250
Be 0.129 0.274 0.706
Be 0.274 0.129 0.206
Be 0.726 0.871 0.794
Be 0.871 0.726 0.294
In 0.387 0.613 0.250
In 0.613 0.387 0.750
Cl 0.061 0.701 0.438
Cl 0.099 0.199 0.032
Cl 0.199 0.099 0.532
Cl 0.278 0.445 0.740
Cl 0.299 0.939 0.062
Cl 0.445 0.278 0.240
Cl 0.555 0.722 0.760
Cl 0.701 0.061 0.938
Cl 0.722 0.555 0.260
Cl 0.801 0.901 0.468
Cl 0.901 0.801 0.968
Cl 0.939 0.299 0.562
```